Pr3Nd6Dy2Tl: optimized geometry, GGA-PBE.

Properties
Energy = -4.5517 eV per atom
Density of states at the Fermi level = 15.86 states/eV/f.u.

a b c (Å): 6.320 6.320 11.947
angles (deg): 95.20 95.20 120.29
Fractional coordinates of all 12 atoms:
Pr1 0.000 0.000 0.000
Pr2 0.331 0.669 0.000
Pr3 0.669 0.331 0.000
Nd1 0.095 0.421 0.258
Nd2 0.253 0.253 0.745
Nd3 0.421 0.095 0.258
Nd4 0.579 0.905 0.742
Nd5 0.747 0.747 0.255
Nd6 0.905 0.579 0.742
Dy1 0.165 0.835 0.500
Dy2 0.835 0.165 0.500
Tl1 0.500 0.500 0.500